Model one:
Crystalline NaTaTi3 at its relaxed geometry. Source: Alexandria via LeMat-Bulk, functional PBE.

Its magnetization is 0.00 μB per formula unit.

Structure (CIF):
```
data_NaTaTi3
_chemical_formula_sum 'Na1 Ta1 Ti3'
_cell_length_a 4.9414
_cell_length_b 4.9414
_cell_length_c 4.9414
_cell_angle_alpha 90.00
_cell_angle_beta 90.00
_cell_angle_gamma 90.00
_symmetry_space_group_name_H-M 'P 1'
_symmetry_Int_Tables_number 1
loop_
_symmetry_equiv_pos_as_xyz
'x,y,z'
loop_
_atom_site_label
_atom_site_type_symbol
_atom_site_fract_x
_atom_site_fract_y
_atom_site_fract_z
Na1 Na 0.0000 0.0000 0.0000
Ta1 Ta 0.5000 0.5000 0.5000
Ti1 Ti 0.0000 0.5000 0.5000
Ti2 Ti 0.5000 0.0000 0.5000
Ti3 Ti 0.5000 0.5000 0.0000
```


Model two:
Crystalline NaTaTi3 at its relaxed geometry. Source: Alexandria via LeMat-Bulk, functional PBE.

Its magnetization is 0.00 μB per formula unit.

Structure (CIF):
```
data_NaTaTi3
_chemical_formula_sum 'Na1 Ta1 Ti3'
_cell_length_a 4.5841
_cell_length_b 4.5841
_cell_length_c 4.5841
_cell_angle_alpha 90.00
_cell_angle_beta 90.00
_cell_angle_gamma 90.00
_symmetry_space_group_name_H-M 'P 1'
_symmetry_Int_Tables_number 1
loop_
_symmetry_equiv_pos_as_xyz
'x,y,z'
loop_
_atom_site_label
_atom_site_type_symbol
_atom_site_fract_x
_atom_site_fract_y
_atom_site_fract_z
Na1 Na 0.0000 0.0000 0.0000
Ta1 Ta 0.5000 0.5000 0.5000
Ti1 Ti 0.0000 0.0000 0.5000
Ti2 Ti 0.0000 0.5000 0.0000
Ti3 Ti 0.5000 0.0000 0.0000
```


Tell me which of them is the least stable. Sure, it is model two.


Model one:
Crystalline Na2TaTi at its relaxed geometry. Source: Alexandria via LeMat-Bulk, functional PBE.

Its magnetization is 0.27 μB per formula unit.

Structure (CIF):
```
data_Na2TaTi
_chemical_formula_sum 'Na4 Ta2 Ti2'
_cell_length_a 6.4143
_cell_length_b 6.4143
_cell_length_c 6.4143
_cell_angle_alpha 98.99
_cell_angle_beta 98.99
_cell_angle_gamma 133.43
_symmetry_space_group_name_H-M 'P 1'
_symmetry_Int_Tables_number 1
loop_
_symmetry_equiv_pos_as_xyz
'x,y,z'
loop_
_atom_site_label
_atom_site_type_symbol
_atom_site_fract_x
_atom_site_fract_y
_atom_site_fract_z
Na1 Na 0.1140 0.6250 0.9890
Na2 Na 0.3750 0.3640 0.4890
Na3 Na 0.6360 0.1250 0.0110
Na4 Na 0.8750 0.8860 0.5110
Ta1 Ta 0.2500 0.7500 0.5000
Ta2 Ta 0.5000 0.5000 0.0000
Ti1 Ti 0.0000 0.0000 0.0000
Ti2 Ti 0.7500 0.2500 0.5000
```


Model two:
Crystalline Na2TaTi at its relaxed geometry. Source: Alexandria via LeMat-Bulk, functional PBE.

Its magnetization is 0.22 μB per formula unit.

Structure (CIF):
```
data_Na2TaTi
_chemical_formula_sum 'Na2 Ta1 Ti1'
_cell_length_a 4.8950
_cell_length_b 4.8950
_cell_length_c 4.8950
_cell_angle_alpha 60.00
_cell_angle_beta 60.00
_cell_angle_gamma 60.00
_symmetry_space_group_name_H-M 'P 1'
_symmetry_Int_Tables_number 1
loop_
_symmetry_equiv_pos_as_xyz
'x,y,z'
loop_
_atom_site_label
_atom_site_type_symbol
_atom_site_fract_x
_atom_site_fract_y
_atom_site_fract_z
Na1 Na 0.2500 0.2500 0.2500
Na2 Na 0.7500 0.7500 0.7500
Ta1 Ta 0.0000 0.0000 0.0000
Ti1 Ti 0.5000 0.5000 0.5000
```


Tell me which of them is the least stable. Sure, it is model two.